1.
BaLa2Zn PBE optimized geometry; DOS(E_F) = 10.055 states/eV/cell; total magnetization = 0.00 Bohr magnetons per cell; calculated volume = 33.25 A^3/atom; calculated formation energy = 0.1191 eV/atom; mass density = 6.00 Mg/m³; space-group type = I4/mmm; uncorrected energy = -3.1438 eV per atom
1.0
5.0395 0.0000 0.0000
0.0000 5.0395 0.0000
0.0000 0.0000 10.4755
Ba La Zn
2 4 2
direct
0.0000 0.0000 0.0000
0.5000 0.5000 0.5000
0.0000 0.5000 0.2500
0.0000 0.5000 0.7500
0.5000 0.0000 0.2500
0.5000 0.0000 0.7500
0.0000 0.0000 0.5000
0.5000 0.5000 0.0000

2.
BaLa2Zn PBE optimized geometry; DOS(E_F) = 9.737 states/eV/cell; total magnetization = 0.00 Bohr magnetons per cell; calculated volume = 34.06 A^3/atom; calculated formation energy = 0.1698 eV/atom; mass density = 5.86 Mg/m³; space-group type = Cmmm; uncorrected energy = -3.0931 eV per atom
1.0
7.4546 0.0000 0.0000
0.0000 9.3009 0.0000
0.0000 0.0000 3.9296
Ba La Zn
2 4 2
direct
0.0000 0.0000 0.0000
0.5000 0.5000 0.0000
0.2500 0.2500 0.5000
0.2500 0.7500 0.5000
0.7500 0.2500 0.5000
0.7500 0.7500 0.5000
0.0000 0.5000 0.0000
0.5000 0.0000 0.0000

3.
BaLa2Zn PBE optimized geometry; DOS(E_F) = 11.044 states/eV/cell; total magnetization = 0.00 Bohr magnetons per cell; calculated volume = 35.69 A^3/atom; calculated formation energy = -0.0489 eV/atom; mass density = 5.59 Mg/m³; space-group type = Immm; uncorrected energy = -3.3118 eV per atom
1.0
3.8826 0.0000 0.0000
0.0000 5.9090 0.0000
0.0000 0.0000 12.4458
Ba La Zn
2 4 2
direct
0.0000 0.0000 0.0000
0.5000 0.5000 0.5000
0.0000 0.5000 0.2080
0.0000 0.5000 0.7920
0.5000 0.0000 0.2920
0.5000 0.0000 0.7080
0.0000 0.0000 0.5000
0.5000 0.5000 0.0000

4.
BaLa2Zn PBE optimized geometry; DOS(E_F) = 6.020 states/eV/cell; total magnetization = 0.00 Bohr magnetons per cell; calculated volume = 36.32 A^3/atom; calculated formation energy = -0.0716 eV/atom; mass density = 5.49 Mg/m³; space-group type = P4mm; uncorrected energy = -3.3345 eV per atom
1.0
3.9049 0.0000 0.0000
0.0000 3.9049 0.0000
0.0000 0.0000 9.5280
Ba La Zn
1 2 1
direct
0.0000 0.0000 0.0000
0.0000 0.0000 0.4041
0.5000 0.5000 0.6584
0.5000 0.5000 0.2334

5.
BaLa2Zn PBE optimized geometry; DOS(E_F) = 4.243 states/eV/cell; total magnetization = 0.00 Bohr magnetons per cell; calculated volume = 34.96 A^3/atom; calculated formation energy = 0.0477 eV/atom; mass density = 5.71 Mg/m³; space-group type = P2/m; uncorrected energy = -3.2152 eV per atom
1.0
4.0236 0.0000 0.0000
0.0000 5.4370 0.0000
-1.5295 0.0000 6.3921
Ba La Zn
1 2 1
direct
0.0000 0.0000 0.0000
0.2885 0.5000 0.7020
0.7115 0.5000 0.2980
0.5000 0.0000 0.5000

6.
BaLaZn2 PBE optimized geometry; DOS(E_F) = 3.534 states/eV/cell; total magnetization = 0.14 Bohr magnetons per cell; calculated volume = 30.30 A^3/atom; calculated formation energy = -0.2272 eV/atom; mass density = 5.58 Mg/m³; space-group type = Pmmm; uncorrected energy = -2.5767 eV per atom
1.0
3.9203 0.0000 0.0000
0.0000 3.9397 0.0000
0.0000 0.0000 7.8479
Ba La Zn
1 1 2
direct
0.0000 0.0000 0.0000
0.0000 0.0000 0.5000
0.5000 0.5000 0.2914
0.5000 0.5000 0.7086